The following is a DFT calculation (PBE+U) of an optimized crystal structure of LiMnF3.

Cell and atoms, written as CIF:
```
data_LiMnF3
_chemical_formula_sum 'Li2 Mn2 F6'
_cell_length_a 3.249
_cell_length_b 4.926
_cell_length_c 7.676
_cell_angle_alpha 90.00
_cell_angle_beta 90.00
_cell_angle_gamma 90.00
_space_group_name_H-M_alt 'P 1'
_space_group_IT_number 1
loop_
_space_group_symop_operation_xyz
'x,y,z'
loop_
_atom_site_label
_atom_site_type_symbol
_atom_site_fract_x
_atom_site_fract_y
_atom_site_fract_z
F1 F 0.500 0.250 0.075
F2 F 0.500 0.250 0.425
F3 F 0.000 0.735 0.250
F4 F 0.500 0.750 0.925
F5 F 0.500 0.750 0.575
F6 F 0.000 0.265 0.750
Li1 Li 0.500 0.968 0.250
Li2 Li 0.500 0.032 0.750
Mn1 Mn 0.000 0.500 0.000
Mn2 Mn 0.000 0.500 0.500
```

Output
* final energy: -57.626 eV for the cell shown
* SG: No. 51